The following is a DFT calculation (meta-GGA SCAN) of a PBEsol-optimized structure of BaZnO2F.

Output
size of the total moment	0.49	μB/cell
energy	-16.13	eV per atom

Cell lengths 3.915, 3.915, 4.349 Å; angles 90.00, 90.00, 90.00 degrees
Positions (direct):
1 Ba 0.000 0.000 0.000
2 Zn 0.500 0.500 0.500
3 O 0.000 0.500 0.500
4 O 0.500 0.000 0.500
5 F 0.500 0.500 0.000